(1)
AlGeAu | PBE | relaxed

Summary:
crystal system = hexagonal
SG = P6_3/mmc
energy = -3.67 eV per atom

```
data_AlGeAu
_space_group_name_H-M_alt 'P 1'
_space_group_IT_number 1
_cell_length_a 4.7504
_cell_length_b 4.7504
_cell_length_c 5.6498
_cell_angle_alpha 90.00
_cell_angle_beta 90.00
_cell_angle_gamma 120.00
loop_
_space_group_symop_operation_xyz
'x,y,z'
loop_
_atom_site_label
_atom_site_type_symbol
_atom_site_fract_x
_atom_site_fract_y
_atom_site_fract_z
Ge1 Ge 0.6667 0.3333 0.2500
Ge2 Ge 0.3333 0.6667 0.7500
Al1 Al 0.6667 0.3333 0.7500
Al2 Al 0.3333 0.6667 0.2500
Au1 Au 0.0000 0.0000 0.5000
Au2 Au 0.0000 0.0000 0.0000
```

(2)
LiCaMn2 | PBE | relaxed

Summary:
energy above the most stable polymorph in this dataset = 144 meV/atom
crystal system = orthorhombic
SG = Pmm2
energy = -5.09 eV per atom

```
data_LiCaMn2
_space_group_name_H-M_alt 'P 1'
_space_group_IT_number 1
_cell_length_a 3.3348
_cell_length_b 3.4072
_cell_length_c 8.0225
_cell_angle_alpha 64.90
_cell_angle_beta 89.99
_cell_angle_gamma 90.00
loop_
_space_group_symop_operation_xyz
'x,y,z'
loop_
_atom_site_label
_atom_site_type_symbol
_atom_site_fract_x
_atom_site_fract_y
_atom_site_fract_z
Mn1 Mn 0.0000 0.9874 0.0126
Mn2 Mn 0.5000 0.3034 0.1969
Ca1 Ca 0.0000 0.5217 0.4783
Li1 Li 0.5000 0.6875 0.8123
```

(3)
V5Cr2P | PBE | relaxed

Summary:
crystal system = tetragonal
SG = I4/mcm
energy = -8.86 eV per atom

```
data_V5Cr2P
_space_group_name_H-M_alt 'P 1'
_space_group_IT_number 1
_cell_length_a 5.7976
_cell_length_b 5.7976
_cell_length_c 7.4855
_cell_angle_alpha 112.78
_cell_angle_beta 112.78
_cell_angle_gamma 90.00
loop_
_space_group_symop_operation_xyz
'x,y,z'
loop_
_atom_site_label
_atom_site_type_symbol
_atom_site_fract_x
_atom_site_fract_y
_atom_site_fract_z
V1 V 0.6701 0.1701 0.6803
V2 V 0.8299 0.9898 0.3197
V3 V 0.5102 0.6701 0.6803
V4 V 0.3299 0.8299 0.3197
V5 V 0.0102 0.5102 0.6803
V6 V 0.1701 0.0102 0.6803
V7 V 0.9898 0.4898 0.3197
V8 V 0.4898 0.3299 0.3197
V9 V 0.0000 0.0000 0.0000
V10 V 0.5000 0.5000 0.0000
Cr1 Cr 0.1452 0.3548 0.0000
Cr2 Cr 0.8548 0.6452 0.0000
Cr3 Cr 0.3548 0.8548 0.0000
Cr4 Cr 0.6452 0.1452 0.0000
P1 P 0.2500 0.2500 0.5000
P2 P 0.7500 0.7500 0.5000
```

(4)
Ce7SBr12 | PBE | relaxed

Summary:
crystal system = trigonal
SG = R-3
energy = -4.97 eV per atom

```
data_Ce7SBr12
_space_group_name_H-M_alt 'P 1'
_space_group_IT_number 1
_cell_length_a 9.3606
_cell_length_b 9.3606
_cell_length_c 9.3606
_cell_angle_alpha 107.75
_cell_angle_beta 107.75
_cell_angle_gamma 107.75
loop_
_space_group_symop_operation_xyz
'x,y,z'
loop_
_atom_site_label
_atom_site_type_symbol
_atom_site_fract_x
_atom_site_fract_y
_atom_site_fract_z
Br1 Br 0.9232 0.3144 0.7736
Br2 Br 0.0768 0.6856 0.2264
Br3 Br 0.5277 0.8468 0.6129
Br4 Br 0.3144 0.7736 0.9232
Br5 Br 0.4723 0.1532 0.3871
Br6 Br 0.8468 0.6129 0.5277
Br7 Br 0.3871 0.4723 0.1532
Br8 Br 0.6856 0.2264 0.0768
Br9 Br 0.7736 0.9232 0.3144
Br10 Br 0.2264 0.0768 0.6856
Br11 Br 0.6129 0.5277 0.8468
Br12 Br 0.1532 0.3871 0.4723
Ce1 Ce 0.8888 0.9651 0.6807
Ce2 Ce 0.5000 0.5000 0.5000
Ce3 Ce 0.3193 0.1112 0.0349
Ce4 Ce 0.9651 0.6807 0.8888
Ce5 Ce 0.1112 0.0349 0.3193
Ce6 Ce 0.6807 0.8888 0.9651
Ce7 Ce 0.0349 0.3193 0.1112
S1 S 0.0000 0.0000 0.0000
```

(5)
Ti4AlOs5 | PBE | relaxed

Summary:
crystal system = tetragonal
SG = P4/mmm
energy = -9.82 eV per atom

```
data_Ti4AlOs5
_space_group_name_H-M_alt 'P 1'
_space_group_IT_number 1
_cell_length_a 3.0847
_cell_length_b 3.0847
_cell_length_c 15.3168
_cell_angle_alpha 90.00
_cell_angle_beta 90.00
_cell_angle_gamma 90.00
loop_
_space_group_symop_operation_xyz
'x,y,z'
loop_
_atom_site_label
_atom_site_type_symbol
_atom_site_fract_x
_atom_site_fract_y
_atom_site_fract_z
Al1 Al 0.0000 0.0000 0.0000
Os1 Os 0.5000 0.5000 0.7008
Os2 Os 0.5000 0.5000 0.2992
Os3 Os 0.5000 0.5000 0.5000
Os4 Os 0.5000 0.5000 0.0988
Os5 Os 0.5000 0.5000 0.9012
Ti1 Ti 0.0000 0.0000 0.1941
Ti2 Ti 0.0000 0.0000 0.6020
Ti3 Ti 0.0000 0.0000 0.8059
Ti4 Ti 0.0000 0.0000 0.3980
```

(6)
Cr2CoRe | PBE | relaxed

Summary:
crystal system = monoclinic
SG = P2/m
energy = -9.56 eV per atom

```
data_Cr2CoRe
_space_group_name_H-M_alt 'P 1'
_space_group_IT_number 1
_cell_length_a 4.1282
_cell_length_b 2.5304
_cell_length_c 4.8404
_cell_angle_alpha 80.23
_cell_angle_beta 90.00
_cell_angle_gamma 90.00
loop_
_space_group_symop_operation_xyz
'x,y,z'
loop_
_atom_site_label
_atom_site_type_symbol
_atom_site_fract_x
_atom_site_fract_y
_atom_site_fract_z
Cr1 Cr 0.0000 0.4713 0.5122
Cr2 Cr 0.0000 0.0287 0.9878
Re1 Re 0.5000 0.2500 0.2500
Co1 Co 0.5000 0.7500 0.7500
```

Copy entry 5 word for word.
Ti4AlOs5 | PBE | relaxed

Summary:
crystal system = tetragonal
SG = P4/mmm
energy = -9.82 eV per atom

```
data_Ti4AlOs5
_space_group_name_H-M_alt 'P 1'
_space_group_IT_number 1
_cell_length_a 3.0847
_cell_length_b 3.0847
_cell_length_c 15.3168
_cell_angle_alpha 90.00
_cell_angle_beta 90.00
_cell_angle_gamma 90.00
loop_
_space_group_symop_operation_xyz
'x,y,z'
loop_
_atom_site_label
_atom_site_type_symbol
_atom_site_fract_x
_atom_site_fract_y
_atom_site_fract_z
Al1 Al 0.0000 0.0000 0.0000
Os1 Os 0.5000 0.5000 0.7008
Os2 Os 0.5000 0.5000 0.2992
Os3 Os 0.5000 0.5000 0.5000
Os4 Os 0.5000 0.5000 0.0988
Os5 Os 0.5000 0.5000 0.9012
Ti1 Ti 0.0000 0.0000 0.1941
Ti2 Ti 0.0000 0.0000 0.6020
Ti3 Ti 0.0000 0.0000 0.8059
Ti4 Ti 0.0000 0.0000 0.3980
```